# YHf2C3 PBE-GGA relaxed
data_YHf2C3
_space_group_name_H-M_alt 'P 1'
_space_group_IT_number 1
_space_group_name_Hall 'P 1'
_cell_length_a 3.365
_cell_length_b 3.365
_cell_length_c 8.343
_cell_angle_alpha 90.00
_cell_angle_beta 90.00
_cell_angle_gamma 120.00
loop_
_atom_site_label
_atom_site_fract_x
_atom_site_fract_y
_atom_site_fract_z
C1 0.000 0.000 0.000
C2 0.667 0.333 0.689
Y1 0.000 0.000 0.500
Hf1 0.333 0.667 0.839
C3 0.333 0.667 0.311
Hf2 0.667 0.333 0.161
# Calculated density, Mg/m³: 9.8
# Symmetry: No. 164
# VASP energy, eV per atom: -9.615